[1]
A crystal of TaOsRu2 relaxed with PBEsol. Source: Alexandria, functional SCAN.

Unit cell a=2.9907 b=4.4080 c=4.4495 alpha=90.00 beta=90.00 gamma=90.00
Atoms (fractional coordinates):
Os 0.0000 0.5000 0.5000
Ru 0.0000 0.0000 0.0000
Ru 0.5000 0.0000 0.5000
Ta 0.5000 0.5000 0.0000

## Properties
- Energy above the lowest structure with this stoichiometry: 0.302 eV per atom
- Density of states at the Fermi level: 0.978 states/eV/atom
- Calculated formation energy: 0.08 eV per atom
- SG: No. 47
- Total magnetic moment: 0.86 μB per formula unit

[2]
A crystal of TaOsRu2 relaxed with PBEsol. Source: Alexandria, functional SCAN.

Unit cell a=2.7452 b=2.7452 c=7.7224 alpha=90.00 beta=90.00 gamma=90.00
Atoms (fractional coordinates):
Ru 0.5000 0.5000 0.2350
Os 0.5000 0.5000 0.7675
Ru 0.0000 0.0000 0.0000
Ta 0.0000 0.0000 0.4976

## Properties
- Energy above the lowest structure with this stoichiometry: 0.208 eV per atom
- Density of states at the Fermi level: 0.958 states/eV/atom
- Calculated formation energy: -0.01 eV per atom
- SG: No. 99
- Total magnetic moment: 0.00 μB per formula unit

[3]
A crystal of TcOsRu2 relaxed with PBEsol. Source: Alexandria, functional SCAN.

Unit cell a=3.1884 b=3.1884 c=5.5121 alpha=90.00 beta=90.00 gamma=90.00
Atoms (fractional coordinates):
Tc 0.0000 0.0000 0.4909
Os 0.5000 0.5000 0.7549
Ru 0.5000 0.5000 0.2396
Ru 0.0000 0.0000 0.0146

## Properties
- Energy above the lowest structure with this stoichiometry: 0.551 eV per atom
- Density of states at the Fermi level: 0.811 states/eV/atom
- Calculated formation energy: 0.47 eV per atom
- SG: No. 99
- Total magnetic moment: 1.46 μB per formula unit

[4]
A crystal of TcOs2Ru relaxed with PBEsol. Source: Alexandria, functional SCAN.

Unit cell a=2.6918 b=2.6918 c=8.9526 alpha=81.35 beta=81.35 gamma=60.00
Atoms (fractional coordinates):
Ru 0.5002 0.5002 0.4995
Os 0.7505 0.7505 0.7486
Tc 0.2496 0.2496 0.2512
Os 0.9998 0.9998 0.0007

## Properties
- Energy above the lowest structure with this stoichiometry: 0.199 eV per atom
- Density of states at the Fermi level: 0.966 states/eV/atom
- Calculated formation energy: 0.11 eV per atom
- SG: No. 160
- Total magnetic moment: 0.00 μB per formula unit

[5]
A crystal of TcOsRu2 relaxed with PBEsol. Source: Alexandria, functional SCAN.

Unit cell a=2.6800 b=2.6800 c=8.9203 alpha=81.36 beta=81.36 gamma=60.00
Atoms (fractional coordinates):
Os 0.0000 0.0000 0.0000
Ru 0.7502 0.7502 0.7494
Ru 0.2498 0.2498 0.2506
Tc 0.5000 0.5000 0.5000

## Properties
- Energy above the lowest structure with this stoichiometry: 0.189 eV per atom
- Density of states at the Fermi level: 1.040 states/eV/atom
- Calculated formation energy: 0.11 eV per atom
- SG: No. 166
- Total magnetic moment: 0.00 μB per formula unit

[6]
A crystal of TcOsRu2 relaxed with PBEsol. Source: Alexandria, functional SCAN.

Unit cell a=2.7092 b=4.2838 c=4.6942 alpha=90.00 beta=90.00 gamma=90.00
Atoms (fractional coordinates):
Ru 0.0000 0.0000 0.0439
Os 0.5000 0.5000 0.2086
Tc 0.5000 0.0000 0.5406
Ru 0.0000 0.5000 0.7070

## Properties
- Energy above the lowest structure with this stoichiometry: 0.000 eV per atom
- Density of states at the Fermi level: 0.651 states/eV/atom
- Calculated formation energy: -0.08 eV per atom
- SG: No. 25
- Total magnetic moment: 0.00 μB per formula unit

What is the total magnetic moment in the fifth record?
0.00 μB per formula unit